[1]
Here is MnAl2Tc after structural relaxation from Alexandria. Energies are from PBE-GGA.

E_tot = -6.94 eV/atom
relative energy among the computed polymorphs = 132.0 meV/atom
Fermi-level density of states = 1.003 states/eV/atom
calculated formation energy = -180.5 meV per atom
spin magnetization = 1.99 μB per formula unit

a = 6.0283 Å, b = 6.0283 Å, c = 6.0283 Å
α = 90.00°, β = 90.00°, γ = 90.00°
Space group F-43m (No. 216)
Symmetry-distinct sites (fractional):
Mn 0.0000 0.0000 0.0000 x4
Al 0.0000 0.0000 0.5000 x4
Al 0.2500 0.2500 0.7500 x4
Tc 0.2500 0.2500 0.2500 x4

[2]
Here is MnAl2Tc2 after structural relaxation from Alexandria. Energies are from PBE-GGA.

E_tot = -7.34 eV/atom
relative energy among the computed polymorphs = 243.8 meV/atom
Fermi-level density of states = 1.737 states/eV/atom
calculated formation energy = 134.0 meV per atom
spin magnetization = 0.00 μB per formula unit

a = 6.1414 Å, b = 6.1414 Å, c = 4.0366 Å
α = 90.00°, β = 90.00°, γ = 90.00°
Space group P4/mbm (No. 127)
Symmetry-distinct sites (fractional):
Mn 0.0000 0.0000 0.0000 x2
Al 0.1658 0.3342 0.5000 x4
Tc 0.1447 0.6447 0.0000 x4

[3]
Here is Mn2AlTc after structural relaxation from Alexandria. Energies are from PBE-GGA.

E_tot = -8.06 eV/atom
Fermi-level density of states = 0.815 states/eV/atom
calculated formation energy = 54.4 meV per atom
spin magnetization = 1.47 μB per formula unit

a = 2.6647 Å, b = 2.6647 Å, c = 25.1121 Å
α = 90.00°, β = 90.00°, γ = 120.00°
Space group R-3m (No. 166, hexagonal axes)
Symmetry-distinct sites (fractional):
Mn 0.0000 0.0000 0.2503 x6
Al 0.0000 0.0000 0.5000 x3
Tc 0.0000 0.0000 0.0000 x3